Entry from the Alexandria database: a relaxed YErGaRu crystal (PBE).

Values from the calculation:
The electronic total energy comes out at -6.333 eV/atom. For the energy of formation from the pure elements, the calculation gives -0.501 eV/atom. For the density of states at the Fermi level, the calculation gives 0.84 states/eV per atom. For the energy above the most stable polymorph in this dataset, the calculation gives 0.0000 eV per atom.

Unit cell a=4.307 b=3.854 c=10.716 alpha=90.00 beta=90.00 gamma=90.00
Space group Amm2 (No. 38)
Symmetry-distinct sites (fractional):
Y (0.000, 0.000, 0.000)
Er (0.500, 0.000, 0.713)
Ga (0.500, 0.000, 0.421)
Ru (0.000, 0.000, 0.283)


Entry from the Alexandria database: a relaxed ErZnGaRu crystal (PBE).

Values from the calculation:
The electronic total energy comes out at -4.870 eV/atom. For the energy of formation from the pure elements, the calculation gives -0.335 eV/atom. For the density of states at the Fermi level, the calculation gives 0.71 states/eV per atom. For the energy above the most stable polymorph in this dataset, the calculation gives 0.0000 eV per atom.

Unit cell a=4.3082 b=4.3082 c=13.9807 alpha=90.00 beta=90.00 gamma=120.00
Space group R3m (No. 160, hexagonal axes)
Symmetry-distinct sites (fractional):
Er (0.0000, 0.0000, 0.0000)
Zn (0.0000, 0.0000, 0.2154)
Ga (0.0000, 0.0000, 0.7826)
Ru (0.0000, 0.0000, 0.4544)


Entry from the Alexandria database: a relaxed ErZnGaRu crystal (PBE).

Values from the calculation:
The electronic total energy comes out at -4.843 eV/atom. For the energy of formation from the pure elements, the calculation gives -0.308 eV/atom. For the density of states at the Fermi level, the calculation gives 0.94 states/eV per atom. For the energy above the most stable polymorph in this dataset, the calculation gives 0.0276 eV per atom.

Unit cell a=6.481 b=6.481 c=6.481 alpha=90.00 beta=90.00 gamma=90.00
Space group F-43m (No. 216)
Symmetry-distinct sites (fractional):
Er (0.000, 0.000, 0.000)
Zn (0.250, 0.250, 0.750)
Ga (0.250, 0.250, 0.250)
Ru (0.000, 0.000, 0.500)


Entry from the Alexandria database: a relaxed ErZr2GaRu4 crystal (PBE).

Values from the calculation:
The electronic total energy comes out at -8.244 eV/atom. For the energy of formation from the pure elements, the calculation gives -0.520 eV/atom. For the density of states at the Fermi level, the calculation gives 0.38 states/eV per atom.

Unit cell a=4.5857 b=4.5857 c=22.4449 alpha=90.00 beta=90.00 gamma=120.00
Space group R-3m (No. 166, hexagonal axes)
Symmetry-distinct sites (fractional):
Er (0.0000, 0.0000, 0.0000)
Zr (0.0000, 0.0000, 0.2438)
Ga (0.0000, 0.0000, 0.5000)
Ru (0.0000, 0.0000, 0.1260)
Ru (0.0000, 0.0000, 0.3793)


Entry from the Alexandria database: a relaxed Er3GaS6 crystal (PBE).

Values from the calculation:
The electronic total energy comes out at -5.874 eV/atom. The calculation puts the formation energy (no corrections) at -1.726 eV per atom. For the density of states at the Fermi level, the calculation gives 0.00 states/eV per atom.

Unit cell a=10.606 b=13.229 c=6.430 alpha=90.00 beta=90.00 gamma=90.00
Space group Cmc2_1 (No. 36)
Symmetry-distinct sites (fractional):
Er (0.000, 0.097, 0.000)
Er (0.185, 0.401, 0.090)
Ga (0.000, 0.299, 0.626)
S (0.000, 0.283, 0.272)
S (0.000, 0.460, 0.773)
S (0.163, 0.030, 0.294)
S (0.166, 0.232, 0.808)


Entry from the Alexandria database: a relaxed ErGaS crystal (PBE).

Values from the calculation:
The electronic total energy comes out at -5.077 eV/atom. The calculation puts the formation energy (no corrections) at -1.171 eV per atom. For the density of states at the Fermi level, the calculation gives 0.15 states/eV per atom.

Unit cell a=4.1063 b=4.1063 c=31.5167 alpha=90.00 beta=90.00 gamma=120.00
Space group R-3m (No. 166, hexagonal axes)
Symmetry-distinct sites (fractional):
Er (0.0000, 0.0000, 0.0754)
Ga (0.0000, 0.0000, 0.3401)
S (0.0000, 0.0000, 0.2217)